# 1
# TlReIr3 GGA-PBE optimized geometry
# **Energy above the lowest structure with this stoichiometry**: 1649 meV/atom
# **Energy of formation**: 302.5 kJ per mole of atoms
# **D(E_F)**: 12.51 states/eV per cell
data_TlReIr3
_chemical_formula_sum 'Tl1 Re1 Ir3'
_symmetry_space_group_name_H-M 'P m -3 m'
_symmetry_Int_Tables_number 221
_symmetry_space_group_name_Hall '-P 4 2 3'
_cell_length_a 4.817
_cell_length_b 4.817
_cell_length_c 4.817
_cell_angle_alpha 90.00
_cell_angle_beta 90.00
_cell_angle_gamma 90.00
loop_
_atom_site_label
_atom_site_type_symbol
_atom_site_fract_x
_atom_site_fract_y
_atom_site_fract_z
Tl1 Tl 0.000 0.000 0.000
Re1 Re 0.500 0.500 0.500
Ir1 Ir 0.000 0.000 0.500

---

# 2
# PuTlB GGA-PBE optimized geometry
# **Energy of formation**: 18.3 kJ per mole of atoms
# **D(E_F)**: 30.75 states/eV per cell
data_PuTlB
_chemical_formula_sum 'Pu4 Tl4 B4'
_symmetry_space_group_name_H-M 'C 1 2/m 1'
_symmetry_Int_Tables_number 12
_symmetry_space_group_name_Hall '-C 2y'
_cell_length_a 10.554
_cell_length_b 3.678
_cell_length_c 8.079
_cell_angle_alpha 90.00
_cell_angle_beta 128.90
_cell_angle_gamma 90.00
loop_
_atom_site_label
_atom_site_type_symbol
_atom_site_fract_x
_atom_site_fract_y
_atom_site_fract_z
Pu1 Pu 0.234 0.000 0.157
Tl1 Tl 0.076 0.000 0.381
B1 B 0.027 0.500 0.925

---

# 3
# SrAc2AuO5 GGA-PBE optimized geometry
# **Formation energy (no corrections)**: -2.3236 eV/atom
data_SrAc2AuO5
_chemical_formula_sum 'Sr2 Ac4 Au2 O10'
_symmetry_space_group_name_H-M 'P 4/m b m'
_symmetry_Int_Tables_number 127
_symmetry_space_group_name_Hall '-P 4 2ab'
_cell_length_a 7.115
_cell_length_b 7.115
_cell_length_c 6.214
_cell_angle_alpha 90.00
_cell_angle_beta 90.00
_cell_angle_gamma 90.00
loop_
_atom_site_label
_atom_site_type_symbol
_atom_site_fract_x
_atom_site_fract_y
_atom_site_fract_z
Sr1 Sr 0.000 0.000 0.000
Ac1 Ac 0.172 0.328 0.500
Au1 Au 0.000 0.500 0.000
O1 O 0.000 0.000 0.500
O2 O 0.151 0.651 0.245

---

# 4
# Cu2SnSbO GGA-PBE optimized geometry
# **D(E_F)**: 6.15 states/eV per cell
# **Formation energy (no corrections)**: 1.0831 eV/atom
data_Cu2SnSbO
_chemical_formula_sum 'Cu2 Sn1 Sb1 O1'
_symmetry_space_group_name_H-M 'P 4/m m m'
_symmetry_Int_Tables_number 123
_symmetry_space_group_name_Hall '-P 4 2'
_cell_length_a 4.739
_cell_length_b 4.739
_cell_length_c 5.642
_cell_angle_alpha 90.00
_cell_angle_beta 90.00
_cell_angle_gamma 90.00
loop_
_atom_site_label
_atom_site_type_symbol
_atom_site_fract_x
_atom_site_fract_y
_atom_site_fract_z
Cu1 Cu 0.000 0.500 0.000
Sn1 Sn 0.000 0.000 0.000
Sb1 Sb 0.000 0.000 0.500
O1 O 0.500 0.500 0.500

---

# 5
# SbWSe2 GGA-PBE optimized geometry
# **D(E_F)**: 3.77 states/eV per cell
# **Formation energy (no corrections)**: 0.8095 eV/atom
data_SbWSe2
_chemical_formula_sum 'Sb1 W1 Se2'
_symmetry_space_group_name_H-M 'P m m m'
_symmetry_Int_Tables_number 47
_symmetry_space_group_name_Hall '-P 2 2'
_cell_length_a 3.295
_cell_length_b 4.490
_cell_length_c 5.378
_cell_angle_alpha 90.00
_cell_angle_beta 90.00
_cell_angle_gamma 90.00
loop_
_atom_site_label
_atom_site_type_symbol
_atom_site_fract_x
_atom_site_fract_y
_atom_site_fract_z
Sb1 Sb 0.000 0.000 0.000
W1 W 0.500 0.000 0.500
Se1 Se 0.000 0.500 0.500
Se2 Se 0.500 0.500 0.000

---

# 6
# SrEu3Cd GGA-PBE optimized geometry
# **Energy of formation**: 3.7 kJ per mole of atoms
# **D(E_F)**: 27.23 states/eV per cell
data_SrEu3Cd
_chemical_formula_sum 'Sr1 Eu3 Cd1'
_symmetry_space_group_name_H-M 'P m -3 m'
_symmetry_Int_Tables_number 221
_symmetry_space_group_name_Hall '-P 4 2 3'
_cell_length_a 6.228
_cell_length_b 6.228
_cell_length_c 6.228
_cell_angle_alpha 90.00
_cell_angle_beta 90.00
_cell_angle_gamma 90.00
loop_
_atom_site_label
_atom_site_type_symbol
_atom_site_fract_x
_atom_site_fract_y
_atom_site_fract_z
Sr1 Sr 0.000 0.000 0.000
Eu1 Eu 0.000 0.500 0.500
Cd1 Cd 0.500 0.500 0.500

---

| no. | V (Å³/cell) | total energy (eV per atom) |
| --- | --- | --- |
| 1 | 112 | -5.1441 |
| 2 | 244 | -7.6023 |
| 3 | 315 | -6.5422 |
| 4 | 127 | -3.1721 |
| 5 | 80 | -5.2017 |
| 6 | 242 | -6.6454 |